[1]
Below is LiY2Si4Ir3 after structural relaxation, with properties calculated at the PBE level.

Output
uncorrected energy = -72.24 eV per cell
formation energy without anion corrections = -0.913 eV/atom

CIF file:
```
data_LiY2Si4Ir3
_cell_length_a 4.154
_cell_length_b 4.154
_cell_length_c 9.824
_cell_angle_alpha 90.00
_cell_angle_beta 90.00
_cell_angle_gamma 90.00
_space_group_name_H-M_alt 'P -4 m 2'
_space_group_IT_number 115
loop_
_space_group_symop_operation_xyz
'x,y,z'
'y,-x,-z'
'-x,-y,z'
'-y,x,-z'
'-x,y,z'
'-y,-x,-z'
'x,-y,z'
'y,x,-z'
loop_
_atom_site_label
_atom_site_fract_x
_atom_site_fract_y
_atom_site_fract_z
Li1 0.000 0.000 0.000
Y1 0.000 0.500 0.746
Si1 0.000 0.000 0.500
Si2 0.000 0.500 0.131
Si3 0.500 0.500 0.500
Ir1 0.000 0.500 0.373
Ir2 0.500 0.500 0.000
```

=====

[2]
Below is CoTeRh2 after structural relaxation, with properties calculated at the PBE level.

Output
uncorrected energy = -49.05 eV per cell
formation energy without anion corrections = 0.106 eV/atom

CIF file:
```
data_CoTeRh2
_cell_length_a 3.983
_cell_length_b 3.983
_cell_length_c 7.643
_cell_angle_alpha 90.00
_cell_angle_beta 90.00
_cell_angle_gamma 90.00
_space_group_name_H-M_alt 'I -4 m 2'
_space_group_IT_number 119
_space_group_name_Hall 'I -4 -2'
loop_
_atom_site_label
_atom_site_fract_x
_atom_site_fract_y
_atom_site_fract_z
Co1 0.000 0.000 0.000
Te1 0.000 0.500 0.750
Rh1 0.000 0.000 0.500
Rh2 0.000 0.500 0.250
```

=====

[3]
Below is NdUN2 after structural relaxation, with properties calculated at the PBE level.

Output
uncorrected energy = -76.27 eV per cell
formation energy without anion corrections = -1.357 eV/atom

CIF file:
```
data_NdUN2
_cell_length_a 3.5188
_cell_length_b 3.5188
_cell_length_c 11.7267
_cell_angle_alpha 90.00
_cell_angle_beta 90.00
_cell_angle_gamma 120.00
_space_group_name_H-M_alt 'P 63/m m c'
_space_group_IT_number 194
_space_group_name_Hall '-P 6c 2c'
loop_
_atom_site_label
_atom_site_fract_x
_atom_site_fract_y
_atom_site_fract_z
Nd1 0.3333 0.6667 0.2500
U1 0.0000 0.0000 0.0000
N1 0.3333 0.6667 0.6053
```

=====

[4]
Below is Ho3Pd13 after structural relaxation, with properties calculated at the PBE level.

Output
uncorrected energy = -181.17 eV per cell
E_form = -0.58 eV/atom

CIF file:
```
data_Ho3Pd13
_cell_length_a 8.435
_cell_length_b 7.805
_cell_length_c 8.316
_cell_angle_alpha 90.00
_cell_angle_beta 90.00
_cell_angle_gamma 90.00
_space_group_name_H-M_alt 'A m m 2'
_space_group_IT_number 38
loop_
_space_group_symop_operation_xyz
'x,y,z'
'-x,-y,z'
'-x,y,z'
'x,-y,z'
'x,y+1/2,z+1/2'
'-x,-y+1/2,z+1/2'
'-x,y+1/2,z+1/2'
'x,-y+1/2,z+1/2'
loop_
_atom_site_label
_atom_site_fract_x
_atom_site_fract_y
_atom_site_fract_z
Ho1 0.000 0.000 0.000
Ho2 0.271 0.000 0.310
Pd1 0.000 0.000 0.547
Pd2 0.000 0.231 0.277
Pd3 0.248 0.000 0.787
Pd4 0.254 0.244 0.048
Pd5 0.500 0.000 0.045
Pd6 0.500 0.000 0.550
Pd7 0.500 0.235 0.796
```

=====

[5]
Below is KHg2Pt after structural relaxation, with properties calculated at the PBE level.

Output
uncorrected energy = -15.72 eV per cell
E_form = -0.03 eV/atom
E above lowest polymorph = 0.1424 eV per atom

CIF file:
```
data_KHg2Pt
_cell_length_a 9.391
_cell_length_b 3.145
_cell_length_c 6.965
_cell_angle_alpha 90.00
_cell_angle_beta 97.64
_cell_angle_gamma 90.00
_space_group_name_H-M_alt 'C 1 2/m 1'
_space_group_IT_number 12
loop_
_space_group_symop_operation_xyz
'x,y,z'
'-x,-y,-z'
'-x,y,-z'
'x,-y,z'
'x+1/2,y+1/2,z'
'-x+1/2,-y+1/2,-z'
'-x+1/2,y+1/2,-z'
'x+1/2,-y+1/2,z'
loop_
_atom_site_label
_atom_site_fract_x
_atom_site_fract_y
_atom_site_fract_z
K1 0.000 0.000 0.000
Hg1 0.236 0.000 0.690
Pt1 0.000 0.500 0.500
```

=====

[6]
Below is CaCe2Zn8 after structural relaxation, with properties calculated at the PBE level.

Output
uncorrected energy = -52.99 eV per cell
E_form = -0.22 eV/atom

CIF file:
```
data_CaCe2Zn8
_cell_length_a 7.857
_cell_length_b 14.833
_cell_length_c 4.884
_cell_angle_alpha 90.00
_cell_angle_beta 128.44
_cell_angle_gamma 90.00
_space_group_name_H-M_alt 'C 1 2/m 1'
_space_group_IT_number 12
loop_
_space_group_symop_operation_xyz
'x,y,z'
'-x,-y,-z'
'-x,y,-z'
'x,-y,z'
'x+1/2,y+1/2,z'
'-x+1/2,-y+1/2,-z'
'-x+1/2,y+1/2,-z'
'x+1/2,-y+1/2,z'
loop_
_atom_site_label
_atom_site_fract_x
_atom_site_fract_y
_atom_site_fract_z
Ca1 0.000 0.000 0.000
Ce1 0.000 0.309 0.500
Zn1 0.000 0.199 0.000
Zn2 0.001 0.500 0.756
Zn3 0.225 0.126 0.725
```

=====

[7]
Below is NdY7Hg4 after structural relaxation, with properties calculated at the PBE level.

Output
uncorrected energy = -105.52 eV per cell
E_form = -0.13 eV/atom

CIF file:
```
data_NdY7Hg4
_cell_length_a 14.690
_cell_length_b 5.701
_cell_length_c 9.842
_cell_angle_alpha 90.00
_cell_angle_beta 122.43
_cell_angle_gamma 90.00
_space_group_name_H-M_alt 'C 1 2/m 1'
_space_group_IT_number 12
loop_
_space_group_symop_operation_xyz
'x,y,z'
'-x,-y,-z'
'-x,y,-z'
'x,-y,z'
'x+1/2,y+1/2,z'
'-x+1/2,-y+1/2,-z'
'-x+1/2,y+1/2,-z'
'x+1/2,-y+1/2,z'
loop_
_atom_site_label
_atom_site_fract_x
_atom_site_fract_y
_atom_site_fract_z
Nd1 0.000 0.000 0.000
Y1 0.000 0.500 0.000
Y2 0.066 0.000 0.405
Y3 0.209 0.000 0.883
Y4 0.229 0.500 0.679
Hg1 0.048 0.500 0.730
Hg2 0.189 0.500 0.338
```

=====

[8]
Below is Ga2GeAu2 after structural relaxation, with properties calculated at the PBE level.

Output
uncorrected energy = -34.50 eV per cell
E_form = 0.00 eV/atom
E above lowest polymorph = 0.0000 eV per atom

CIF file:
```
data_Ga2GeAu2
_cell_length_a 7.846
_cell_length_b 7.846
_cell_length_c 3.062
_cell_angle_alpha 90.00
_cell_angle_beta 90.00
_cell_angle_gamma 90.00
_space_group_name_H-M_alt 'P 4/m b m'
_space_group_IT_number 127
_space_group_name_Hall '-P 4 2ab'
loop_
_atom_site_label
_atom_site_fract_x
_atom_site_fract_y
_atom_site_fract_z
Ga1 0.163 0.337 0.000
Ge1 0.000 0.000 0.500
Au1 0.138 0.638 0.500
```